{"formula": "Pr4TlSb2Te", "functional": "PBE", "state": "relaxed", "cell": [[-1.9174, 3.7291, -1.6555], [-6.3699, -4.1546, -1.9809], [-5.1354, 0.0716, 6.1089]], "species": ["Sb", "Te", "Tl", "Pr", "Sb", "Pr", "Pr", "Pr"], "fractional_positions": [[0.5000, 0.0000, 0.5000], [0.0000, 0.5000, 0.5000], [0.5000, 0.5000, 0.0000], [0.0000, 0.2429, 0.2555], [0.0000, 0.0000, 0.0000], [0.5000, 0.7573, 0.2473], [0.0000, 0.7571, 0.7445], [0.5000, 0.2427, 0.7527]], "total_energy_ev_per_cell": -41.21, "dos_at_fermi_per_ev_atom": 0.656, "sg": "P2/m, No. 10", "formation_energy_uncorrected_ev_per_atom": -1.04}